Here is a relaxed structure of LiNi2PdO from Alexandria. Energies are from PBE+U.

Calculated values
M_tot (μB per atom): 0.226
VASP energy (eV/atom): -3.49

Unit cell a=3.838 b=3.838 c=4.396 alpha=90.00 beta=90.00 gamma=90.00
Space group P4/mmm (No. 123)
Symmetry-distinct sites (fractional):
Li 0.000 0.000 0.000
Ni 0.000 0.500 0.500
Pd 0.500 0.500 0.000
O 0.500 0.500 0.500